1.
In2P2I: optimized geometry, PBE.

Cell lengths 5.1834, 5.1834, 5.7883 Å; angles 63.40, 63.40, 90.00 degrees
Last column: nearest neighbours and their distance in Å.
Positions (direct):
P1 0.6236 0.6236 0.7528  1 P 2.22
P2 0.3764 0.3764 0.2472  1 P 2.22
In1 0.2500 0.7500 0.5000  4 P 2.83
In2 0.7500 0.2500 0.5000  4 P 2.83
I1 0.0000 0.0000 0.0000  2 P 3.37, 8 In 3.43

Crystal system: tetragonal
DFT total energy: -18.3 eV/cell
Formation energy from raw total energies: -0.09 eV per atom
Distance to the lowest polymorph of the same formula: 0.0000 eV/atom

=====

2.
InPI: optimized geometry, PBE.

Cell lengths 7.3450, 7.3450, 6.9334 Å; angles 58.02, 58.02, 60.00 degrees
Last column: nearest neighbours and their distance in Å.
Positions (direct):
In1 0.3775 0.3775 0.8675  3 P 2.59
In2 0.7115 0.7115 0.8655  3 P 2.59
In3 0.0446 0.0446 0.8663  3 P 2.59
I1 0.2418 0.5753 0.2750  3 In 3.32, 3 P 3.42
I2 0.9079 0.2418 0.2750  3 In 3.32, 3 P 3.42
I3 0.5753 0.9079 0.2750  3 In 3.32, 3 P 3.42
P1 0.4299 0.0971 0.7098  3 In 2.59
P2 0.7632 0.4299 0.7098  3 In 2.59
P3 0.0971 0.7632 0.7098  3 In 2.59

Crystal system: trigonal
DFT total energy: -28.1 eV/cell
Formation energy from raw total energies: 0.11 eV per atom